A geometry-optimized TaAg3Pd12 structure. Source: Alexandria, functional GGA-PBE.

Cell and atoms, written as POSCAR:
```
TaAg3Pd12
1.0
3.991 0.000 0.000
0.000 3.991 0.000
0.000 0.000 15.954
Ta Ag Pd
1 3 12
Cartesian
0.000 0.000 0.000
0.000 0.000 3.975
0.000 0.000 7.977
0.000 0.000 11.978
0.000 1.995 1.897
0.000 1.995 5.979
0.000 1.995 9.975
0.000 1.995 14.056
1.995 0.000 1.897
1.995 0.000 5.979
1.995 0.000 9.975
1.995 0.000 14.056
1.995 1.995 0.000
1.995 1.995 3.952
1.995 1.995 7.977
1.995 1.995 12.002
```

Total moment: 0.0 μB/cell
Space-group type: P4/mmm (123)
Crystal system: tetragonal
E: -85.22 eV per formula unit
ΔH_f (0 K): -15.0 kJ per mole of atoms

=====

A geometry-optimized TaAgPd5 structure. Source: Alexandria, functional GGA-PBE.

Cell and atoms, written as POSCAR:
```
TaAgPd5
1.0
3.984 0.000 0.000
0.000 3.984 0.000
0.000 0.000 7.550
Ta Ag Pd
1 1 5
Cartesian
0.000 0.000 0.000
1.992 1.992 3.775
0.000 0.000 3.775
0.000 1.992 1.690
0.000 1.992 5.860
1.992 0.000 1.690
1.992 0.000 5.860
```

Total moment: 0.0 μB/cell
Space-group type: P4/mmm (123)
Crystal system: tetragonal
E: -41.41 eV per formula unit
ΔH_f (0 K): -10.2 kJ per mole of atoms

=====

A geometry-optimized Ta2AgPd structure. Source: Alexandria, functional GGA-PBE.

Cell and atoms, written as POSCAR:
```
Ta2AgPd
1.0
-3.722 3.722 2.693
3.722 -3.722 2.693
3.722 3.722 -2.693
Ta Ag Pd
4 2 2
Cartesian
5.583 1.669 -0.673
1.669 1.861 0.673
-1.861 2.052 2.019
2.052 1.861 3.366
3.722 0.000 1.346
0.000 0.000 2.693
0.000 0.000 0.000
0.000 3.722 1.346
```

Total moment: 0.0 μB/cell
E above lowest polymorph: 0.195 eV per atom
Space-group type: I-42d (122)
Crystal system: tetragonal
E: -29.61 eV per formula unit
ΔH_f (0 K): 51.5 kJ per mole of atoms

=====

A geometry-optimized Ta3AgPd structure. Source: Alexandria, functional GGA-PBE.

Cell and atoms, written as POSCAR:
```
Ta3AgPd
1.0
4.833 0.000 0.000
0.000 4.833 0.000
0.000 0.000 4.833
Ta Ag Pd
3 1 1
Cartesian
0.000 0.000 2.416
0.000 2.416 0.000
2.416 0.000 0.000
2.416 2.416 2.416
0.000 0.000 0.000
```

Total moment: 0.0 μB/cell
E above lowest polymorph: 0.000 eV per atom
Space-group type: Pm-3m (221)
Crystal system: cubic
E: -36.27 eV per formula unit
ΔH_f (0 K): 141.5 kJ per mole of atoms

=====

A geometry-optimized TaAg3Pd structure. Source: Alexandria, functional GGA-PBE.

Cell and atoms, written as POSCAR:
```
TaAg3Pd
1.0
4.886 0.000 0.000
0.000 4.886 0.000
0.000 0.000 4.886
Ta Ag Pd
1 3 1
Cartesian
0.000 0.000 0.000
0.000 2.443 2.443
2.443 0.000 2.443
2.443 2.443 0.000
2.443 2.443 2.443
```

Total moment: 0.0 μB/cell
E above lowest polymorph: 0.000 eV per atom
Space-group type: Pm-3m (221)
Crystal system: cubic
E: -17.93 eV per formula unit
ΔH_f (0 K): 147.9 kJ per mole of atoms

=====

A geometry-optimized Ta2Ag2Pd structure. Source: Alexandria, functional GGA-PBE.

Cell and atoms, written as POSCAR:
```
Ta2Ag2Pd
1.0
8.052 0.000 0.000
0.000 8.052 0.000
0.000 0.000 2.861
Ta Ag Pd
4 4 2
Cartesian
0.970 3.056 0.000
3.056 7.082 0.000
4.995 0.970 0.000
7.082 4.995 0.000
1.414 5.439 1.430
2.612 1.414 1.430
5.439 6.638 1.430
6.638 2.612 1.430
0.000 0.000 0.000
4.026 4.026 0.000
```

Total moment: 0.0 μB/cell
E above lowest polymorph: 0.000 eV per atom
Space-group type: P4/mbm (127)
Crystal system: tetragonal
E: -31.64 eV per formula unit
ΔH_f (0 K): 57.1 kJ per mole of atoms